# KFeBP2HO9 (PBE+U, relaxed)
data_KFeBP2HO9
_chemical_formula_sum 'K2 Fe2 B2 P4 H2 O18'
_symmetry_space_group_name_H-M 'P 1'
_symmetry_Int_Tables_number 1
_symmetry_space_group_name_Hall 'P 1'
_cell_length_a 5.228
_cell_length_b 8.240
_cell_length_c 8.434
_cell_angle_alpha 86.88
_cell_angle_beta 80.40
_cell_angle_gamma 86.51
loop_
_atom_site_label
_atom_site_type_symbol
_atom_site_fract_x
_atom_site_fract_y
_atom_site_fract_z
K1 K 0.724 0.328 0.114
K2 K 0.276 0.672 0.886
Fe1 Fe 0.270 0.194 0.807
Fe2 Fe 0.730 0.806 0.193
B1 B 0.123 0.268 0.445
B2 B 0.877 0.732 0.555
P1 P 0.199 0.583 0.302
P2 P 0.801 0.417 0.698
P3 P 0.216 0.062 0.188
P4 P 0.784 0.938 0.812
H1 H 0.466 0.162 0.503
H2 H 0.534 0.838 0.497
O1 O 0.028 0.404 0.794
O2 O 0.972 0.596 0.206
O3 O 0.055 0.150 0.337
O4 O 0.945 0.850 0.663
O5 O 0.057 0.923 0.155
O6 O 0.943 0.077 0.845
O7 O 0.126 0.673 0.463
O8 O 0.874 0.327 0.537
O9 O 0.251 0.192 0.047
O10 O 0.749 0.808 0.953
O11 O 0.268 0.400 0.346
O12 O 0.732 0.600 0.654
O13 O 0.292 0.195 0.557
O14 O 0.708 0.805 0.443
O15 O 0.448 0.646 0.205
O16 O 0.552 0.354 0.795
O17 O 0.486 0.004 0.227
O18 O 0.514 0.996 0.773
# E   -103.54 eV/f.u.
# SG   P-1 (2)